1.
A relaxed structure of CsHg2Bi. Source: Alexandria via LeMat-Bulk, functional PBE-GGA.

Computed properties:
* volume: 140 Å³ per cell
* uncorrected energy: -1.442 eV/atom
* formation enthalpy at 0 K: -0.108 eV/atom

Cell lengths 3.884, 3.884, 9.300 Å; angles 90.00, 90.00, 90.00 degrees
Space group P4/mmm (No. 123)
Symmetry-distinct sites (fractional):
Cs1 0.000 0.000 0.000 x1
Hg1 0.500 0.500 0.285 x2
Bi1 0.000 0.000 0.500 x1

***

2.
A relaxed structure of Cs2Hg2Bi. Source: Alexandria via LeMat-Bulk, functional PBE-GGA.

Computed properties:
* volume: 455 Å³ per cell
* uncorrected energy: -1.315 eV/atom
* energy relative to the lowest polymorph listed for this composition: 0.261 eV/atom
* formation enthalpy at 0 K: -0.076 eV/atom

Cell lengths 10.749, 10.749, 3.936 Å; angles 90.00, 90.00, 90.00 degrees
Space group P4/mbm (No. 127)
Symmetry-distinct sites (fractional):
Cs1 0.184 0.316 0.000 x4
Hg1 0.109 0.609 0.500 x4
Bi1 0.000 0.000 0.000 x2

***

3.
A relaxed structure of Cs2Hg6Bi3. Source: Alexandria via LeMat-Bulk, functional PBE-GGA.

Computed properties:
* volume: 855 Å³ per cell
* uncorrected energy: -1.575 eV/atom
* formation enthalpy at 0 K: -0.197 eV/atom

Cell lengths 6.139, 15.523, 8.974 Å; angles 90.00, 90.00, 90.00 degrees
Space group Amm2 (No. 38)
Symmetry-distinct sites (fractional):
Cs1 0.000 0.167 0.000 x4
Hg1 0.000 0.000 0.696 x2
Hg2 0.000 0.098 0.400 x4
Hg3 0.500 0.000 0.145 x2
Hg4 0.500 0.179 0.681 x4
Bi1 0.500 0.000 0.818 x2
Bi2 0.500 0.157 0.346 x4

***

4.
A relaxed structure of CsHg3Bi. Source: Alexandria via LeMat-Bulk, functional PBE-GGA.

Computed properties:
* volume: 716 Å³ per cell
* uncorrected energy: -1.333 eV/atom
* energy relative to the lowest polymorph listed for this composition: 0.000 eV/atom
* formation enthalpy at 0 K: -0.205 eV/atom

Cell lengths 7.872, 11.871, 7.667 Å; angles 90.00, 90.00, 90.00 degrees
Space group Cmcm (No. 63)
Symmetry-distinct sites (fractional):
Cs1 0.000 0.239 0.250 x4
Hg1 0.000 0.107 0.750 x4
Hg2 0.237 0.500 0.000 x8
Bi1 0.000 0.362 0.750 x4

***

5.
A relaxed structure of Cs3Hg4Bi2. Source: Alexandria via LeMat-Bulk, functional PBE-GGA.

Computed properties:
* volume: 810 Å³ per cell
* uncorrected energy: -1.559 eV/atom
* energy relative to the lowest polymorph listed for this composition: 0.006 eV/atom
* formation enthalpy at 0 K: -0.278 eV/atom

Cell lengths 5.3951, 5.3951, 32.1203 Å; angles 90.00, 90.00, 120.00 degrees
Space group P3m1 (No. 156)
Symmetry-distinct sites (fractional):
Cs1 0.0000 0.0000 0.0000 x1
Cs2 0.0000 0.0000 0.1645 x1
Cs3 0.0000 0.0000 0.3307 x1
Cs4 0.0000 0.0000 0.4955 x1
Cs5 0.0000 0.0000 0.6618 x1
Cs6 0.0000 0.0000 0.8339 x1
Hg1 0.3333 0.6667 0.0823 x1
Hg2 0.3333 0.6667 0.2476 x1
Hg3 0.3333 0.6667 0.4131 x1
Hg4 0.3333 0.6667 0.5783 x1
Hg5 0.3333 0.6667 0.9174 x1
Hg6 0.6667 0.3333 0.2475 x1
Hg7 0.6667 0.3333 0.5779 x1
Hg8 0.6667 0.3333 0.9177 x1
Bi1 0.3333 0.6667 0.7479 x1
Bi2 0.6667 0.3333 0.0826 x1
Bi3 0.6667 0.3333 0.4128 x1
Bi4 0.6667 0.3333 0.7479 x1

***

6.
A relaxed structure of Cs3HgBi. Source: Alexandria via LeMat-Bulk, functional PBE-GGA.

Computed properties:
* volume: 446 Å³ per cell
* uncorrected energy: -1.507 eV/atom
* energy relative to the lowest polymorph listed for this composition: 0.186 eV/atom
* formation enthalpy at 0 K: -0.159 eV/atom

Cell lengths 7.641, 7.641, 7.641 Å; angles 90.00, 90.00, 90.00 degrees
Space group Pm-3m (No. 221)
Symmetry-distinct sites (fractional):
Cs1 0.000 0.000 0.500 x3
Hg1 0.500 0.500 0.500 x1
Bi1 0.000 0.000 0.000 x1